Here is crystalline Cs2K12Rb5 at its relaxed geometry from the Alexandria database. Energies are from PBE-GGA.

Results
Calculated density   1.24 g/cm³
E   -1.024 eV/atom
Energy of formation from the pure elements   0.01 eV per atom

abc: 23.6431 15.3296 8.7911
angles: 90.00 102.30 90.00
Last column: nearest neighbours and their distance in Å.
Space group C2/m (No. 12)
Symmetry-distinct sites (fractional):
Cs1 0.0000 0.2045 0.0000  10 K 4.87-5.27, 2 Rb 5.40
K1 0.0559 0.5000 0.3013  3 K 4.53-4.81, 2 Rb 4.61-4.64
K2 0.1038 0.2546 0.5857  5 K 4.51-4.93, 2 Rb 4.55-4.59, 1 Cs 4.87
K3 0.1575 0.0000 0.9293  4 Rb 4.60-4.72, 6 K 4.72-5.12, 2 Cs 5.01
K4 0.2058 0.2651 0.1986  4 K 4.46-4.72, 3 Rb 4.61-4.71, 1 Cs 4.90
Rb1 0.0000 0.0000 0.5000  6 K 4.59-4.70
Rb2 0.1435 0.5000 0.8803  8 K 4.55-5.07, 1 Rb 4.86
Rb3 0.2245 0.0000 0.4750  9 K 4.60-5.15, 1 Rb 4.86



Here is crystalline Cs2K9Rb at its relaxed geometry from the Alexandria database. Energies are from PBE-GGA.

Results
Polymorph energy (0 for the lowest one)   0.0 meV/atom
Calculated density   1.21 g/cm³
E   -1.038 eV/atom
Energy of formation from the pure elements   0.01 eV per atom

abc: 6.8507 6.8507 20.4915
angles: 90.00 90.00 90.00
Last column: nearest neighbours and their distance in Å.
Space group P4/mmm (No. 123)
Symmetry-distinct sites (fractional):
Cs1 0.0000 0.0000 0.1708  12 K 4.84-4.90
K1 0.0000 0.5000 0.0000  8 K 4.84-4.89, 4 Cs 4.90
K2 0.0000 0.5000 0.3408  8 K 4.73-4.89, 2 Rb 4.73, 2 Cs 4.89
K3 0.5000 0.5000 0.1704  4 Cs 4.84, 8 K 4.89
K4 0.5000 0.5000 0.5000  8 K 4.73, 4 Rb 4.84
Rb1 0.0000 0.0000 0.5000  12 K 4.73-4.84



Here is crystalline Cs4KRb at its relaxed geometry from the Alexandria database. Energies are from PBE-GGA.

Results
Polymorph energy (0 for the lowest one)   0.0 meV/atom
Calculated density   1.76 g/cm³
E   -0.910 eV/atom
Energy of formation from the pure elements   0.00 eV per atom

abc: 6.5407 9.3785 11.3337
angles: 72.78 89.99 69.67
Last column: nearest neighbours and their distance in Å.
Space group P1 (No. 1)
Symmetry-distinct sites (fractional):
Cs1 0.0000 0.0000 0.0000  2 K 5.06-5.07, 2 Rb 5.09-5.10, 6 Cs 5.26-5.58
Cs2 0.0011 0.0000 0.4919  2 K 5.05, 2 Rb 5.12, 6 Cs 5.23-5.58
Cs3 0.3203 0.3612 0.1602  2 K 5.04-5.05, 2 Rb 5.12-5.13, 6 Cs 5.23-5.57
Cs4 0.3197 0.3612 0.6516  2 K 5.07, 2 Rb 5.09-5.10, 6 Cs 5.26-5.57
K1 0.6603 0.6806 0.3256  8 Cs 5.04-5.07
Rb1 0.6603 0.6805 0.8256  10 Cs 5.09-5.68, 2 K 5.67